Record 1
Compound: LiAcPm2
Source: Alexandria
Functional: PBE
Structure: relaxed

Properties
energy of formation from the pure elements = 0.1850 eV per atom
theoretical density = 6.38 g/cm³
M_tot = 0.0 μB/cell
calculated total energy = -3.70 eV/atom

abc: 5.9455 5.9455 3.8569
angles: 90.00 90.00 90.00
Space group P4/mmm (No. 123)
One atom of each set of equivalent atoms:
Li  0.0000  0.0000  0.0000 [1 per cell]
Ac  0.5000  0.5000  0.0000 [1 per cell]
Pm  0.0000  0.5000  0.5000 [2 per cell]


Record 2
Compound: Li4AcPm
Source: Alexandria
Functional: PBE
Structure: relaxed

Properties
energy of formation from the pure elements = 0.0889 eV per atom
theoretical density = 4.12 g/cm³
M_tot = 0.0 μB/cell
calculated total energy = -2.66 eV/atom

abc: 8.6412 8.6412 8.6412
angles: 90.00 90.00 90.00
Space group F-43m (No. 216)
One atom of each set of equivalent atoms:
Li  0.1235  0.1235  0.1235 [16 per cell]
Ac  0.0000  0.0000  0.5000 [4 per cell]
Pm  0.2500  0.2500  0.7500 [4 per cell]


Record 3
Compound: LiAcPm2
Source: Alexandria
Functional: PBE
Structure: relaxed

Properties
energy of formation from the pure elements = 0.2282 eV per atom
theoretical density = 6.34 g/cm³
M_tot = 0.0 μB/cell
calculated total energy = -3.65 eV/atom

abc: 8.1887 8.1887 8.1887
angles: 90.00 90.00 90.00
Space group Fm-3m (No. 225)
One atom of each set of equivalent atoms:
Li  0.0000  0.0000  0.0000 [4 per cell]
Ac  0.0000  0.0000  0.5000 [4 per cell]
Pm  0.2500  0.2500  0.2500 [8 per cell]